Record 1
KTlSn2 | PBE | relaxed

Results
Fermi-level density of states	6.9	states/eV per cell
crystal system	trigonal
formation energy	9	meV/atom
polymorph energy (0 for the lowest one)	88.7	meV per atom
total energy	-2.86	eV/atom
density	5.2	g cm⁻³
magnetic moment	0.000	μB per atom

a b c (Å): 5.3564 5.3564 18.4192
angles (deg): 90.00 90.00 120.00
Space group R-3m (No. 166, hexagonal axes)
Asymmetric unit:
K 0.0000 0.0000 0.0000
Tl 0.0000 0.0000 0.5000
Sn 0.0000 0.0000 0.2024

---

Record 2
K3Tl4Sn | PBE | relaxed

Results
Fermi-level density of states	7.2	states/eV per cell
crystal system	orthorhombic
formation energy	-118	meV/atom
polymorph energy (0 for the lowest one)	0.0	meV per atom
total energy	-2.21	eV/atom
density	5.7	g cm⁻³
magnetic moment	0.000	μB per atom

a b c (Å): 12.979 12.022 7.821
angles (deg): 90.00 90.00 90.00
Space group Pnma (No. 62)
Asymmetric unit:
K 0.065 0.250 0.228
K 0.152 0.525 0.622
Tl 0.051 0.750 0.348
Tl 0.086 0.548 0.108
Tl 0.188 0.250 0.836
Sn 0.200 0.750 0.984

---

Record 3
K2TlSn6 | PBE | relaxed

Results
Fermi-level density of states	5.2	states/eV per cell
crystal system	trigonal
formation energy	-132	meV/atom
total energy	-3.31	eV/atom
density	5.6	g cm⁻³
magnetic moment	0.000	μB per atom

a b c (Å): 6.9802 6.9802 6.9332
angles (deg): 90.00 90.00 120.00
Space group P-3m1 (No. 164)
Asymmetric unit:
K 0.3333 0.6667 0.1358
Tl 0.0000 0.0000 0.0000
Sn 0.1821 0.3642 0.6490

---

Record 4
KTl2Sn | PBE | relaxed

Results
Fermi-level density of states	5.5	states/eV per cell
crystal system	trigonal
formation energy	-90	meV/atom
polymorph energy (0 for the lowest one)	15.1	meV per atom
total energy	-2.55	eV/atom
density	6.9	g cm⁻³
magnetic moment	0.000	μB per atom

a b c (Å): 5.1639 5.1639 17.8002
angles (deg): 90.00 90.00 120.00
Space group R-3m (No. 166, hexagonal axes)
Asymmetric unit:
K 0.0000 0.0000 0.0000
Tl 0.0000 0.0000 0.2316
Sn 0.0000 0.0000 0.5000

---

Record 5
KTl4Sn2 | PBE | relaxed

Results
Fermi-level density of states	5.7	states/eV per cell
crystal system	orthorhombic
formation energy	-47	meV/atom
polymorph energy (0 for the lowest one)	0.0	meV per atom
total energy	-2.70	eV/atom
density	7.6	g cm⁻³
magnetic moment	0.000	μB per atom

a b c (Å): 5.546 16.882 5.106
angles (deg): 90.00 90.00 90.00
Space group Cmmm (No. 65)
Asymmetric unit:
K 0.000 0.000 0.000
Tl 0.000 0.181 0.500
Tl 0.000 0.309 0.000
Sn 0.000 0.414 0.500

---

Record 6
KTl3Sn3 | PBE | relaxed

Results
Fermi-level density of states	10.4	states/eV per cell
crystal system	cubic
formation energy	131	meV/atom
polymorph energy (0 for the lowest one)	178.0	meV per atom
total energy	-2.76	eV/atom
density	5.8	g cm⁻³
magnetic moment	0.000	μB per atom

a b c (Å): 8.317 8.317 8.317
angles (deg): 90.00 90.00 90.00
Space group Pm-3n (No. 223)
Asymmetric unit:
K 0.000 0.000 0.000
Tl 0.000 0.250 0.500
Sn 0.000 0.500 0.250

---

Record 7
K2TlSn7 | PBE | relaxed

Results
Fermi-level density of states	4.7	states/eV per cell
crystal system	tetragonal
formation energy	-110	meV/atom
total energy	-3.37	eV/atom
density	5.5	g cm⁻³
magnetic moment	0.000	μB per atom

a b c (Å): 5.492 5.492 11.143
angles (deg): 90.00 90.00 90.00
Space group P-4m2 (No. 115)
Asymmetric unit:
K 0.000 0.500 0.248
Tl 0.500 0.500 0.000
Sn 0.000 0.000 0.000
Sn 0.000 0.000 0.500
Sn 0.000 0.500 0.616
Sn 0.000 0.500 0.878
Sn 0.500 0.500 0.500

---

Record 8
K4Tl4Sn | PBE | relaxed

Results
Fermi-level density of states	12.6	states/eV per cell
crystal system	tetragonal
formation energy	19	meV/atom
total energy	-1.97	eV/atom
density	4.4	g cm⁻³
magnetic moment	0.000	μB per atom

a b c (Å): 7.460 7.460 14.889
angles (deg): 90.00 90.00 90.00
Space group I-42m (No. 121)
Asymmetric unit:
K 0.209 0.209 0.367
Tl 0.218 0.218 0.124
Sn 0.000 0.000 0.000

---

Record 9
KTlSn4 | PBE | relaxed

Results
Fermi-level density of states	19.8	states/eV per cell
crystal system	cubic
formation energy	-50	meV/atom
polymorph energy (0 for the lowest one)	31.8	meV per atom
total energy	-3.30	eV/atom
density	6.5	g cm⁻³
magnetic moment	0.000	μB per atom

a b c (Å): 9.033 9.033 9.033
angles (deg): 90.00 90.00 90.00
Space group F-43m (No. 216)
Asymmetric unit:
K 0.000 0.000 0.000
Tl 0.250 0.250 0.750
Sn 0.125 0.125 0.375

---

Record 10
K3TlSn | PBE | relaxed

Results
Fermi-level density of states	12.2	states/eV per cell
crystal system	monoclinic
formation energy	-132	meV/atom
polymorph energy (0 for the lowest one)	0.0	meV per atom
total energy	-2.06	eV/atom
density	3.2	g cm⁻³
magnetic moment	0.000	μB per atom

a b c (Å): 8.873 7.534 13.875
angles (deg): 90.00 92.46 90.00
Space group P2/c (No. 13)
Asymmetric unit:
K 0.030 0.183 0.117
K 0.248 0.378 0.841
K 0.367 0.174 0.566
Tl 0.406 0.360 0.132
Sn 0.346 0.092 0.298

---

Record 11
KTl14Sn | PBE | relaxed

Results
Fermi-level density of states	14.7	states/eV per cell
crystal system	orthorhombic
formation energy	-11	meV/atom
total energy	-2.40	eV/atom
density	10.1	g cm⁻³
magnetic moment	0.000	μB per atom

a b c (Å): 10.998 8.079 11.203
angles (deg): 90.00 90.00 90.00
Space group Amm2 (No. 38)
Asymmetric unit:
K 0.000 0.000 0.000
Tl 0.000 0.209 0.728
Tl 0.231 0.000 0.257
Tl 0.250 0.222 0.520
Tl 0.266 0.000 0.784
Tl 0.500 0.000 0.006
Tl 0.500 0.000 0.519
Tl 0.500 0.230 0.261
Sn 0.000 0.000 0.460

---

Record 12
KTl2Sn | PBE | relaxed

Results
Fermi-level density of states	7.4	states/eV per cell
crystal system	cubic
formation energy	-91	meV/atom
polymorph energy (0 for the lowest one)	14.0	meV per atom
total energy	-2.55	eV/atom
density	7.5	g cm⁻³
magnetic moment	0.000	μB per atom

a b c (Å): 7.953 7.953 7.953
angles (deg): 90.00 90.00 90.00
Space group Fm-3m (No. 225)
Asymmetric unit:
K 0.000 0.000 0.000
Tl 0.250 0.250 0.250
Sn 0.000 0.000 0.500

---

Record 13
K3Tl2Sn3 | PBE | relaxed

Results
Fermi-level density of states	8.9	states/eV per cell
crystal system	orthorhombic
formation energy	-141	meV/atom
total energy	-2.65	eV/atom
density	5.1	g cm⁻³
magnetic moment	0.000	μB per atom

a b c (Å): 4.617 13.050 19.142
angles (deg): 90.00 90.00 90.00
Space group Cmcm (No. 63)
Asymmetric unit:
K 0.000 0.075 0.250
K 0.000 0.134 0.038
Tl 0.000 0.233 0.651
Sn 0.000 0.361 0.250
Sn 0.000 0.437 0.110

---

Record 14
K4Tl5Sn | PBE | relaxed

Results
Fermi-level density of states	17.5	states/eV per cell
crystal system	tetragonal
formation energy	-114	meV/atom
total energy	-2.14	eV/atom
density	5.4	g cm⁻³
magnetic moment	0.000	μB per atom

a b c (Å): 10.534 10.534 7.135
angles (deg): 90.00 90.00 90.00
Space group I4 (No. 79)
Asymmetric unit:
K 0.064 0.304 0.000
Tl 0.000 0.000 0.782
Tl 0.082 0.219 0.496
Sn 0.000 0.000 0.233

---

Record 15
K5Tl4Sn2 | PBE | relaxed

Results
Fermi-level density of states	11.3	states/eV per cell
crystal system	monoclinic
formation energy	-98	meV/atom
total energy	-2.19	eV/atom
density	4.6	g cm⁻³
magnetic moment	0.000	μB per atom

a b c (Å): 25.494 4.475 8.063
angles (deg): 90.00 98.87 90.00
Space group C2/m (No. 12)
Asymmetric unit:
K 0.000 0.000 0.000
K 0.123 0.500 0.930
K 0.174 0.500 0.492
Tl 0.034 0.500 0.322
Tl 0.238 0.000 0.860
Sn 0.055 0.000 0.602

---

Record 16
KTl2Sn | PBE | relaxed

Results
Fermi-level density of states	9.1	states/eV per cell
crystal system	tetragonal
formation energy	96	meV/atom
polymorph energy (0 for the lowest one)	200.6	meV per atom
total energy	-2.36	eV/atom
density	6.2	g cm⁻³
magnetic moment	0.000	μB per atom

a b c (Å): 5.307 5.307 21.436
angles (deg): 90.00 90.00 90.00
Space group I-42d (No. 122)
Asymmetric unit:
K 0.000 0.000 0.000
Tl 0.182 0.250 0.625
Sn 0.000 0.000 0.500

---

Record 17
KTlSn3 | PBE | relaxed

Results
Fermi-level density of states	3.6	states/eV per cell
crystal system	cubic
formation energy	912	meV/atom
polymorph energy (0 for the lowest one)	547.8	meV per atom
total energy	-2.18	eV/atom
density	4.7	g cm⁻³
magnetic moment	0.000	μB per atom

a b c (Å): 5.941 5.941 5.941
angles (deg): 90.00 90.00 90.00
Space group Pm-3m (No. 221)
Asymmetric unit:
K 0.000 0.000 0.000
Tl 0.500 0.500 0.500
Sn 0.000 0.000 0.500

---

Record 18
KTlSn4 | PBE | relaxed

Results
Fermi-level density of states	3.6	states/eV per cell
crystal system	orthorhombic
formation energy	-82	meV/atom
polymorph energy (0 for the lowest one)	0.0	meV per atom
total energy	-3.33	eV/atom
density	6.3	g cm⁻³
magnetic moment	0.000	μB per atom

a b c (Å): 4.855 7.696 10.208
angles (deg): 90.00 90.00 90.00
Space group Immm (No. 71)
Asymmetric unit:
K 0.000 0.000 0.000
Tl 0.000 0.500 0.000
Sn 0.000 0.198 0.332

---

Record 19
K3Tl8Sn3 | PBE | relaxed

Results
Fermi-level density of states	14.2	states/eV per cell
crystal system	orthorhombic
formation energy	-77	meV/atom
total energy	-2.52	eV/atom
density	7.5	g cm⁻³
magnetic moment	0.000	μB per atom

a b c (Å): 5.294 12.014 14.703
angles (deg): 90.00 90.00 90.00
Space group Immm (No. 71)
Asymmetric unit:
K 0.000 0.000 0.000
K 0.000 0.000 0.292
Tl 0.000 0.287 0.143
Tl 0.000 0.366 0.355
Sn 0.000 0.165 0.500
Sn 0.000 0.500 0.000

---

Record 20
KTl3Sn3 | PBE | relaxed

Results
Fermi-level density of states	4.0	states/eV per cell
crystal system	hexagonal
formation energy	-47	meV/atom
polymorph energy (0 for the lowest one)	0.0	meV per atom
total energy	-2.93	eV/atom
density	7.4	g cm⁻³
magnetic moment	0.000	μB per atom

a b c (Å): 9.3822 9.3822 5.9572
angles (deg): 90.00 90.00 120.00
Space group P6_3/m (No. 176)
Asymmetric unit:
K 0.3333 0.6667 0.2500
Tl 0.0954 0.6628 0.7500
Sn 0.0461 0.8322 0.2500